{"formula": "Pu2Th2CuGe4", "functional": "PBE-GGA", "state": "optimized geometry", "lattice": [[6.4897, 0.2168, 0.3129], [-2.9250, 5.7972, -0.3129], [-2.9250, -2.3297, 5.3177]], "species": ["Th", "Ge", "Ge", "Th", "Pu", "Pu", "Ge", "Cu", "Ge"], "fractional_positions": [[0.5000, 0.2500, 0.7500], [0.0000, 0.2386, 0.7614], [0.4771, 0.2386, 0.2386], [0.5000, 0.7500, 0.2500], [0.0000, 0.3250, 0.3250], [0.0000, 0.6750, 0.6750], [0.5229, 0.7614, 0.7614], [0.0000, 0.0000, 0.0000], [0.0000, 0.7614, 0.2386]], "total_energy_ev_per_atom": -7.63, "space_group": "No. 139"}